{"formula": "Re3HN", "functional": "PBE-GGA", "state": "optimized geometry", "dos_ef_per_ev_cell": 2.7, "energy_ev_per_atom": -8.683, "de_polymorph_ev_per_atom": 0.0000, "cell": [[-0.021, -3.862, -1.043], [1.587, -0.966, 3.543], [-3.672, -0.395, 1.537]], "species": ["H", "N", "Re", "Re", "Re"], "fractional_positions": [[0.500, 0.500, 0.500], [0.000, 0.000, 0.000], [0.000, 0.000, 0.500], [0.500, 0.000, 0.000], [0.000, 0.500, 0.000]]}

{"formula": "ReHN3", "functional": "PBE-GGA", "state": "optimized geometry", "dos_ef_per_ev_cell": 3.4, "energy_ev_per_atom": -5.991, "cell": [[-0.442, -2.306, 2.304], [3.166, -0.856, -0.249], [0.774, 2.184, 2.335]], "species": ["N", "N", "N", "Re", "H"], "fractional_positions": [[0.000, 0.000, 0.500], [0.500, 0.000, 0.000], [0.000, 0.500, 0.000], [0.500, 0.500, 0.500], [0.000, 0.000, 0.000]]}

{"formula": "Re2HN", "functional": "PBE-GGA", "state": "optimized geometry", "dos_ef_per_ev_cell": 5.5, "energy_ev_per_atom": -8.653, "de_polymorph_ev_per_atom": 0.0000, "cell": [[4.289, 0.000, 0.000], [0.000, 4.289, 0.000], [2.145, 2.145, 4.625]], "species": ["N", "N", "Re", "Re", "H", "Re", "Re", "H"], "fractional_positions": [[0.000, 0.000, 0.000], [0.750, 0.250, 0.500], [0.593, 0.125, 0.250], [0.875, 0.843, 0.750], [0.500, 0.500, 0.000], [0.375, 0.407, 0.750], [0.157, 0.625, 0.250], [0.250, 0.750, 0.500]]}

{"formula": "ReHN2", "functional": "PBE-GGA", "state": "optimized geometry", "dos_ef_per_ev_cell": 0.8, "energy_ev_per_atom": -7.971, "de_polymorph_ev_per_atom": 0.0000, "cell": [[-3.331, -0.136, 4.033], [-3.433, -2.772, 2.812], [-1.265, -2.094, 4.625]], "species": ["H", "N", "Re", "N"], "fractional_positions": [[0.000, 0.000, 0.000], [0.085, 0.085, 0.085], [0.500, 0.500, 0.500], [0.915, 0.915, 0.915]]}

{"formula": "Re2HN", "functional": "PBE-GGA", "state": "optimized geometry", "dos_ef_per_ev_cell": 3.4, "energy_ev_per_atom": -7.851, "de_polymorph_ev_per_atom": 0.8021, "cell": [[0.000, 2.699, 2.699], [2.699, 0.000, 2.699], [2.699, 2.699, 0.000]], "species": ["H", "Re", "N", "Re"], "fractional_positions": [[0.000, 0.000, 0.000], [0.250, 0.250, 0.250], [0.500, 0.500, 0.500], [0.750, 0.750, 0.750]]}

{"formula": "ReHN2", "functional": "PBE-GGA", "state": "optimized geometry", "dos_ef_per_ev_cell": 4.0, "energy_ev_per_atom": -7.345, "de_polymorph_ev_per_atom": 0.6267, "cell": [[-1.340, -3.498, 2.182], [-0.209, -2.234, -3.710], [3.230, -4.083, -0.257]], "species": ["H", "N", "H", "N", "Re", "Re", "N", "N"], "fractional_positions": [[0.250, 0.750, 0.500], [0.875, 0.856, 0.750], [0.500, 0.500, 0.000], [0.144, 0.625, 0.250], [0.000, 0.000, 0.000], [0.750, 0.250, 0.500], [0.606, 0.125, 0.250], [0.375, 0.394, 0.750]]}

{"formula": "ReHN2", "functional": "PBE-GGA", "state": "optimized geometry", "dos_ef_per_ev_cell": 1.9, "energy_ev_per_atom": -6.464, "de_polymorph_ev_per_atom": 1.5076, "cell": [[1.631, 0.000, 5.183], [-0.816, 1.413, 5.183], [-0.816, -1.413, 5.183]], "species": ["N", "Re", "N", "H"], "fractional_positions": [[0.120, 0.120, 0.120], [0.000, 0.000, 0.000], [0.880, 0.880, 0.880], [0.500, 0.500, 0.500]]}

{"formula": "ReH2N", "functional": "PBE-GGA", "state": "optimized geometry", "dos_ef_per_ev_cell": 1.5, "energy_ev_per_atom": -5.899, "de_polymorph_ev_per_atom": 0.0000, "cell": [[5.004, 0.000, 0.000], [0.000, 5.004, 0.000], [2.502, 2.502, 2.197]], "species": ["N", "H", "H", "Re", "Re", "H", "H", "N"], "fractional_positions": [[0.500, 0.500, 0.000], [0.375, 0.625, 0.250], [0.375, 0.125, 0.250], [0.000, 0.000, 0.000], [0.750, 0.250, 0.500], [0.375, 0.625, 0.750], [0.875, 0.625, 0.750], [0.250, 0.750, 0.500]]}

{"formula": "ReH2N", "functional": "PBE-GGA", "state": "optimized geometry", "dos_ef_per_ev_cell": 1.5, "energy_ev_per_atom": -5.476, "de_polymorph_ev_per_atom": 0.4228, "cell": [[-1.414, -0.066, 2.351], [-1.697, -2.092, 0.522], [2.165, -2.852, 2.824]], "species": ["N", "H", "Re", "H"], "fractional_positions": [[0.500, 0.500, 0.500], [0.142, 0.142, 0.573], [0.000, 0.000, 0.000], [0.858, 0.858, 0.427]]}

{"formula": "ReHS2N", "functional": "PBE-GGA", "state": "optimized geometry", "dos_ef_per_ev_cell": 3.9, "energy_ev_per_atom": -5.679, "de_polymorph_ev_per_atom": 0.0000, "cell": [[4.709, 0.000, 0.000], [0.000, 4.709, 0.000], [0.000, 0.000, 3.771]], "species": ["Re", "H", "S", "N", "S"], "fractional_positions": [[0.000, 0.000, 0.000], [0.500, 0.500, 0.500], [0.000, 0.500, 0.000], [0.000, 0.000, 0.500], [0.500, 0.000, 0.000]]}

{"formula": "ReHS2N", "functional": "PBE-GGA", "state": "optimized geometry", "dos_ef_per_ev_cell": 2.8, "energy_ev_per_atom": -4.850, "de_polymorph_ev_per_atom": 0.8287, "cell": [[3.371, 0.000, 0.000], [0.000, 3.371, 0.000], [0.000, 0.000, 4.658]], "species": ["H", "N", "Re", "S", "S"], "fractional_positions": [[0.000, 0.000, 0.000], [0.000, 0.000, 0.500], [0.500, 0.500, 0.500], [0.500, 0.000, 0.000], [0.000, 0.500, 0.000]]}

{"formula": "ReHSe2N", "functional": "PBE-GGA", "state": "optimized geometry", "dos_ef_per_ev_cell": 4.2, "energy_ev_per_atom": -4.867, "de_polymorph_ev_per_atom": 0.5433, "cell": [[4.759, 0.000, 0.000], [0.000, 4.759, 0.000], [0.000, 0.000, 2.759]], "species": ["H", "N", "Se", "Se", "Re"], "fractional_positions": [[0.000, 0.000, 0.000], [0.000, 0.000, 0.500], [0.500, 0.000, 0.000], [0.000, 0.500, 0.000], [0.500, 0.500, 0.500]]}

{"formula": "ReHSe2N", "functional": "PBE-GGA", "state": "optimized geometry", "dos_ef_per_ev_cell": 3.2, "energy_ev_per_atom": -5.410, "de_polymorph_ev_per_atom": 0.0000, "cell": [[-3.861, 0.966, -3.012], [2.803, -1.158, -3.964], [-1.099, -3.566, 0.265]], "species": ["Se", "Re", "N", "H", "Se"], "fractional_positions": [[0.000, 0.500, 0.000], [0.000, 0.000, 0.000], [0.000, 0.000, 0.500], [0.500, 0.500, 0.500], [0.500, 0.000, 0.000]]}

{"formula": "ReTcHN2", "functional": "PBE-GGA", "state": "optimized geometry", "dos_ef_per_ev_cell": 3.4, "energy_ev_per_atom": -7.094, "cell": [[3.810, 0.000, 0.000], [0.000, 3.050, 0.000], [0.000, 0.000, 3.810]], "species": ["N", "N", "Re", "H", "Tc"], "fractional_positions": [[0.000, 0.000, 0.500], [0.500, 0.000, 0.000], [0.500, 0.500, 0.500], [0.000, 0.000, 0.000], [0.000, 0.500, 0.000]]}

{"formula": "ReTe2HN", "functional": "PBE-GGA", "state": "optimized geometry", "dos_ef_per_ev_cell": 2.2, "energy_ev_per_atom": -5.297, "de_polymorph_ev_per_atom": 0.0000, "cell": [[-2.217, -4.247, 2.424], [4.222, -3.005, -1.403], [1.710, 0.920, 3.176]], "species": ["Te", "Te", "Re", "H", "N"], "fractional_positions": [[0.000, 0.500, 0.000], [0.500, 0.000, 0.000], [0.000, 0.000, 0.000], [0.500, 0.500, 0.500], [0.000, 0.000, 0.500]]}

{"formula": "ReTeHN2", "functional": "PBE-GGA", "state": "optimized geometry", "dos_ef_per_ev_cell": 3.9, "energy_ev_per_atom": -4.954, "de_polymorph_ev_per_atom": 1.4225, "cell": [[4.077, 0.000, 0.000], [0.000, 4.077, 0.000], [0.000, 0.000, 3.265]], "species": ["H", "Re", "N", "N", "Te"], "fractional_positions": [[0.000, 0.000, 0.000], [0.500, 0.500, 0.500], [0.000, 0.500, 0.000], [0.500, 0.000, 0.000], [0.000, 0.000, 0.500]]}

{"formula": "ReTe2HN", "functional": "PBE-GGA", "state": "optimized geometry", "dos_ef_per_ev_cell": 5.4, "energy_ev_per_atom": -4.711, "de_polymorph_ev_per_atom": 0.5858, "cell": [[5.097, 0.000, 0.000], [0.000, 5.097, 0.000], [0.000, 0.000, 2.867]], "species": ["H", "Te", "Re", "N", "Te"], "fractional_positions": [[0.000, 0.000, 0.000], [0.500, 0.000, 0.000], [0.500, 0.500, 0.500], [0.000, 0.000, 0.500], [0.000, 0.500, 0.000]]}

{"formula": "ReTeHN2", "functional": "PBE-GGA", "state": "optimized geometry", "dos_ef_per_ev_cell": 2.4, "energy_ev_per_atom": -6.376, "de_polymorph_ev_per_atom": 0.0000, "cell": [[-2.171, 0.441, -3.066], [-2.484, -2.485, 1.401], [-2.791, 4.249, 2.587]], "species": ["N", "N", "Te", "H", "Re"], "fractional_positions": [[0.000, 0.500, 0.000], [0.500, 0.000, 0.000], [0.000, 0.000, 0.500], [0.500, 0.500, 0.500], [0.000, 0.000, 0.000]]}

{"formula": "ReHWN2", "functional": "PBE-GGA", "state": "optimized geometry", "dos_ef_per_ev_cell": 2.8, "energy_ev_per_atom": -7.575, "cell": [[3.832, 0.000, 0.000], [0.000, 3.115, 0.000], [0.000, 0.000, 3.832]], "species": ["N", "N", "H", "W", "Re"], "fractional_positions": [[0.500, 0.000, 0.000], [0.000, 0.000, 0.500], [0.000, 0.000, 0.000], [0.000, 0.500, 0.000], [0.500, 0.500, 0.500]]}

{"formula": "HRhN2", "functional": "PBE-GGA", "state": "optimized geometry", "dos_ef_per_ev_cell": 3.1, "energy_ev_per_atom": -5.164, "de_polymorph_ev_per_atom": 1.0540, "cell": [[1.637, 0.000, 4.873], [-0.819, 1.418, 4.873], [-0.819, -1.418, 4.873]], "species": ["Rh", "N", "N", "H"], "fractional_positions": [[0.000, 0.000, 0.000], [0.132, 0.132, 0.132], [0.868, 0.868, 0.868], [0.500, 0.500, 0.500]]}